Be2CuP after structural relaxation. Source: the Alexandria database, functional PBE-GGA.

**E_form**: 0.129 eV/atom

Cell lengths 3.1220, 3.1794, 4.4203 Å; angles 90.00, 90.00, 90.00 degrees
Fractional positions:
1 P 0.5000 0.5000 0.7688
2 Cu 0.0000 0.0000 0.4852
3 Be 0.0000 0.0000 0.9905
4 Be 0.5000 0.5000 0.2555

LaPm2Nd2 after structural relaxation. Source: the Alexandria database, functional PBE-GGA.

**Polymorph energy (0 for the lowest one)**: 0.121 eV/f.u.
**E_form**: 0.116 eV/atom

Cell lengths 6.4235, 6.4235, 9.7999 Å; angles 111.86, 98.13, 102.50 degrees
Fractional positions:
1 La 0.7216 0.9716 0.2500
2 La 0.2784 0.0284 0.7500
3 Pm 0.4498 0.3643 0.1476
4 Pm 0.2167 0.8023 0.3524
5 Pm 0.5502 0.6357 0.8524
6 Pm 0.7833 0.1977 0.6476
7 Nd 0.9007 0.2487 0.0208
8 Nd 0.2278 0.3799 0.4792
9 Nd 0.0993 0.7513 0.9792
10 Nd 0.7722 0.6201 0.5208

Ti3AlSb after structural relaxation. Source: the Alexandria database, functional PBE-GGA.

**Formation energy (no corrections)**: -0.06 eV per atom
**Polymorph energy (0 for the lowest one)**: 0.209 eV/f.u.

Cell lengths 4.6991, 10.3725, 7.7520 Å; angles 90.00, 90.00, 90.00 degrees
Fractional positions:
1 Ti 0.9991 0.1739 0.0650
2 Ti 0.5009 0.6739 0.5650
3 Ti 0.5009 0.6739 0.9350
4 Ti 0.0009 0.8261 0.5650
5 Ti 0.0009 0.8261 0.9350
6 Ti 0.4991 0.3261 0.4350
7 Ti 0.4991 0.3261 0.0650
8 Ti 0.9991 0.1739 0.4350
9 Ti 0.4979 0.1935 0.7500
10 Ti 0.0021 0.6935 0.2500
11 Ti 0.5021 0.8065 0.2500
12 Ti 0.9979 0.3065 0.7500
13 Al 0.4980 0.4531 0.7500
14 Al 0.0020 0.9531 0.2500
15 Al 0.5020 0.5469 0.2500
16 Al 0.9980 0.0469 0.7500
17 Sb 0.0000 0.5000 0.0000
18 Sb 0.5000 0.0000 0.5000
19 Sb 0.5000 0.0000 0.0000
20 Sb 0.0000 0.5000 0.5000

ErScZnCd after structural relaxation. Source: the Alexandria database, functional PBE-GGA.

**Polymorph energy (0 for the lowest one)**: 0.101 eV/f.u.
**E_form**: -0.305 eV/atom

Cell lengths 5.0118, 5.0118, 5.0118 Å; angles 60.00, 60.00, 60.00 degrees
Fractional positions:
1 Sc 0.0000 0.0000 0.0000
2 Zn 0.2500 0.2500 0.2500
3 Cd 0.7500 0.7500 0.7500
4 Er 0.5000 0.5000 0.5000